First-principles (PBE) data for a geometry-optimized BeSbIrO6 structure, as listed in the Alexandria database.

Cell and atoms, written as extended XYZ:
```
18
Lattice="4.901 0.000 0.000 -2.450 4.244 0.000 0.000 0.000 8.731" Properties=species:S:1:pos:R:3 pbc="T T T"
O 1.702 0.079 1.147
Ir 2.450 1.415 6.548
O 0.920 1.435 3.218
Sb 0.000 0.000 4.365
O -0.748 4.165 5.512
Ir 0.000 2.829 2.183
O 0.748 4.165 7.584
O 1.668 2.730 1.147
O 1.531 2.809 5.512
O 3.233 2.730 3.218
O -1.531 2.809 7.584
O 3.981 1.435 1.147
O 3.198 0.079 3.218
O -0.783 1.514 5.512
Sb 0.000 0.000 0.000
Be 0.000 2.829 6.548
Be 2.450 1.415 2.183
O 0.783 1.514 7.584
```

Space-group type = P-31c
D(E_F) = 12.00 states/eV/cell
Energy relative to the elements, uncorrected = -1.221 eV/atom
Spin magnetization = 0.9 Bohr magnetons per cell
Calculated density = 7.7 g/cm3